(1)
{"formula": "MnTeBr2", "functional": "GGA-PBE", "state": "relaxed", "lattice_angstrom": [[3.361, -4.409, 0.000], [3.361, 4.409, 0.000], [0.000, 0.000, 3.443]], "species": ["Mn", "Te", "Br", "Br"], "fractional_positions": [[0.000, 0.000, 0.000], [0.500, 0.500, 0.000], [0.000, 0.500, 0.500], [0.500, 0.000, 0.500]], "crystal_system": "orthorhombic"}


(2)
{"formula": "MnTeBr2", "functional": "GGA-PBE", "state": "relaxed", "lattice_angstrom": [[-2.078, 2.078, 6.442], [2.078, -2.078, 6.442], [2.078, 2.078, -6.442]], "species": ["Mn", "Te", "Br", "Br"], "fractional_positions": [[0.000, 0.000, 0.000], [0.250, 0.750, 0.500], [0.500, 0.500, 0.000], [0.750, 0.250, 0.500]], "crystal_system": "tetragonal"}


(3)
{"formula": "MnTeBr2", "functional": "GGA-PBE", "state": "relaxed", "lattice_angstrom": [[-4.875, 4.875, 2.687], [4.875, -4.875, 2.687], [4.875, 4.875, -2.687]], "species": ["Mn", "Mn", "Te", "Te", "Br", "Br", "Br", "Br"], "fractional_positions": [[0.000, 0.000, 0.000], [0.750, 0.250, 0.500], [0.250, 0.750, 0.500], [0.500, 0.500, 0.000], [0.375, 0.204, 0.329], [0.796, 0.125, 0.171], [0.875, 0.046, 0.671], [0.954, 0.625, 0.829]], "crystal_system": "tetragonal"}


(4)
{"formula": "MnTeBr2", "functional": "GGA-PBE", "state": "relaxed", "lattice_angstrom": [[-1.643, 3.297, 6.395], [1.643, -3.297, 6.395], [1.643, 3.297, -6.395]], "species": ["Mn", "Te", "Br", "Br"], "fractional_positions": [[0.000, 0.000, 0.000], [0.500, 0.500, 0.000], [0.149, 0.649, 0.500], [0.851, 0.351, 0.500]], "crystal_system": "orthorhombic"}


It comes down to (4), which is 31 meV/atom more stable than the next structure.


(1)
{"formula": "MnTeBr2", "functional": "GGA-PBE", "state": "relaxed", "lattice_angstrom": [[3.499, 0.000, 0.000], [0.000, 4.764, 0.000], [0.000, 0.000, 6.298]], "species": ["Mn", "Te", "Br", "Br"], "fractional_positions": [[0.000, 0.000, 0.000], [0.500, 0.000, 0.500], [0.000, 0.500, 0.500], [0.500, 0.500, 0.000]], "crystal_system": "orthorhombic"}


(2)
{"formula": "MnTeBr2", "functional": "GGA-PBE", "state": "relaxed", "lattice_angstrom": [[5.762, 0.000, 0.000], [0.000, 3.396, 0.000], [-2.874, 0.000, 6.987]], "species": ["Mn", "Te", "Br", "Br"], "fractional_positions": [[0.000, 0.000, 0.000], [0.500, 0.000, 0.000], [0.134, 0.500, 0.268], [0.866, 0.500, 0.732]], "crystal_system": "monoclinic"}


It comes down to (2), which is 463 meV/atom more stable than the next structure.


(1)
{"formula": "MnTeBr2", "functional": "GGA-PBE", "state": "relaxed", "lattice_angstrom": [[3.297, 0.000, 0.000], [0.000, 3.297, 0.000], [0.000, 0.000, 11.843]], "species": ["Mn", "Te", "Br", "Br"], "fractional_positions": [[0.000, 0.000, 0.000], [0.000, 0.000, 0.500], [0.500, 0.500, 0.140], [0.500, 0.500, 0.860]], "crystal_system": "tetragonal"}


(2)
{"formula": "MnTeBr2", "functional": "GGA-PBE", "state": "relaxed", "lattice_angstrom": [[5.466, 0.000, 0.000], [0.000, 5.466, 0.000], [0.000, 0.000, 3.409]], "species": ["Mn", "Te", "Br", "Br"], "fractional_positions": [[0.000, 0.000, 0.000], [0.500, 0.500, 0.000], [0.000, 0.500, 0.500], [0.500, 0.000, 0.500]], "crystal_system": "tetragonal"}


It comes down to (1), which is 588 meV/atom more stable than the next structure.


(1)
{"formula": "MnTeBr2", "functional": "GGA-PBE", "state": "relaxed", "lattice_angstrom": [[1.803, 1.041, 12.731], [-1.803, 1.041, 12.731], [0.000, -2.082, 12.731]], "species": ["Mn", "Te", "Br", "Br"], "fractional_positions": [[0.000, 0.000, 0.000], [0.500, 0.500, 0.500], [0.291, 0.291, 0.291], [0.709, 0.709, 0.709]], "crystal_system": "trigonal"}


(2)
{"formula": "MnTeBr2", "functional": "GGA-PBE", "state": "relaxed", "lattice_angstrom": [[0.000, 3.668, 3.668], [3.668, 0.000, 3.668], [3.668, 3.668, 0.000]], "species": ["Mn", "Te", "Br", "Br"], "fractional_positions": [[0.000, 0.000, 0.000], [0.250, 0.250, 0.250], [0.500, 0.500, 0.500], [0.750, 0.750, 0.750]], "crystal_system": "cubic"}


It comes down to (1), which is 624 meV/atom more stable than the next structure.


(1)
{"formula": "MnTe2Br", "functional": "GGA-PBE", "state": "relaxed", "lattice_angstrom": [[-1.733, 2.749, 5.685], [1.733, -2.749, 5.685], [1.733, 2.749, -5.685]], "species": ["Mn", "Te", "Te", "Br"], "fractional_positions": [[0.000, 0.000, 0.000], [0.182, 0.682, 0.500], [0.818, 0.318, 0.500], [0.500, 0.500, 0.000]], "crystal_system": "orthorhombic"}


(2)
{"formula": "MnTe2Br", "functional": "GGA-PBE", "state": "relaxed", "lattice_angstrom": [[5.018, 0.000, 0.000], [0.000, 3.814, 0.000], [-1.998, 0.000, 7.329]], "species": ["Mn", "Te", "Te", "Br"], "fractional_positions": [[0.000, 0.000, 0.000], [0.108, 0.500, 0.269], [0.576, 0.000, 0.189], [0.909, 0.500, 0.769]], "crystal_system": "monoclinic"}


It comes down to (2), which is 258 meV/atom more stable than the next structure.


(1)
{"formula": "MnTe2Br", "functional": "GGA-PBE", "state": "relaxed", "lattice_angstrom": [[3.198, 0.000, 0.000], [0.000, 3.198, 0.000], [0.000, 0.000, 9.641]], "species": ["Mn", "Te", "Te", "Br"], "fractional_positions": [[0.000, 0.000, 0.000], [0.500, 0.500, 0.169], [0.500, 0.500, 0.831], [0.000, 0.000, 0.500]], "crystal_system": "tetragonal"}


(2)
{"formula": "MnTe2Br", "functional": "GGA-PBE", "state": "relaxed", "lattice_angstrom": [[3.664, 0.000, 0.000], [0.000, 3.664, 0.000], [0.000, 0.000, 7.677]], "species": ["Mn", "Te", "Te", "Br"], "fractional_positions": [[0.000, 0.000, 0.000], [0.500, 0.500, 0.188], [0.500, 0.500, 0.812], [0.000, 0.000, 0.500]], "crystal_system": "tetragonal"}


(3)
{"formula": "MnTe2Br", "functional": "GGA-PBE", "state": "relaxed", "lattice_angstrom": [[3.212, -4.225, 0.000], [3.212, 4.225, 0.000], [-3.181, 0.000, 4.222]], "species": ["Mn", "Te", "Te", "Br"], "fractional_positions": [[0.000, 0.000, 0.000], [0.000, 0.500, 0.500], [0.500, 0.000, 0.500], [0.500, 0.500, 0.000]], "crystal_system": "monoclinic"}


(4)
{"formula": "MnTe2Br", "functional": "GGA-PBE", "state": "relaxed", "lattice_angstrom": [[1.943, 1.122, 8.258], [-1.943, 1.122, 8.258], [0.000, -2.244, 8.258]], "species": ["Mn", "Te", "Te", "Br"], "fractional_positions": [[0.000, 0.000, 0.000], [0.386, 0.386, 0.386], [0.614, 0.614, 0.614], [0.500, 0.500, 0.500]], "crystal_system": "trigonal"}


It comes down to (4), which is 19 meV/atom more stable than the next structure.


(1)
{"formula": "MnTe2Br", "functional": "GGA-PBE", "state": "relaxed", "lattice_angstrom": [[1.992, -2.605, 0.000], [1.992, 2.605, 0.000], [0.000, 0.000, 11.408]], "species": ["Mn", "Te", "Te", "Br"], "fractional_positions": [[0.000, 0.000, 0.000], [0.000, 0.000, 0.506], [0.500, 0.500, 0.824], [0.500, 0.500, 0.147]], "crystal_system": "orthorhombic"}


(2)
{"formula": "MnTe2Br", "functional": "GGA-PBE", "state": "relaxed", "lattice_angstrom": [[2.895, -5.518, 0.000], [2.895, 5.518, 0.000], [0.000, 0.000, 3.408]], "species": ["Mn", "Te", "Te", "Br"], "fractional_positions": [[0.000, 0.000, 0.000], [0.000, 0.500, 0.500], [0.500, 0.000, 0.500], [0.500, 0.500, 0.000]], "crystal_system": "orthorhombic"}


(3)
{"formula": "MnTe2Br", "functional": "GGA-PBE", "state": "relaxed", "lattice_angstrom": [[3.553, -1.947, 0.000], [3.553, 1.947, 0.000], [-0.185, 0.000, 8.059]], "species": ["Mn", "Te", "Te", "Br"], "fractional_positions": [[0.000, 0.000, 0.000], [0.326, 0.326, 0.824], [0.674, 0.674, 0.176], [0.500, 0.500, 0.500]], "crystal_system": "monoclinic"}


It comes down to (3), which is 200 meV/atom more stable than the next structure.


(1)
{"formula": "MnTe2Br", "functional": "GGA-PBE", "state": "relaxed", "lattice_angstrom": [[3.231, 0.000, 0.000], [0.000, 3.231, 0.000], [0.000, 0.000, 11.799]], "species": ["Mn", "Te", "Te", "Br"], "fractional_positions": [[0.000, 0.000, 0.000], [0.000, 0.000, 0.512], [0.500, 0.500, 0.173], [0.500, 0.500, 0.865]], "crystal_system": "tetragonal"}


(2)
{"formula": "MnTe2Br", "functional": "GGA-PBE", "state": "relaxed", "lattice_angstrom": [[4.209, 0.000, 0.000], [0.000, 4.209, 0.000], [0.000, 0.000, 6.615]], "species": ["Mn", "Te", "Te", "Br"], "fractional_positions": [[0.000, 0.000, 0.000], [0.000, 0.500, 0.500], [0.500, 0.000, 0.500], [0.500, 0.500, 0.000]], "crystal_system": "tetragonal"}


(3)
{"formula": "MnTe2Br", "functional": "GGA-PBE", "state": "relaxed", "lattice_angstrom": [[-3.412, 3.412, 5.482], [3.412, -3.412, 5.482], [3.412, 3.412, -5.482]], "species": ["Mn", "Mn", "Te", "Te", "Te", "Te", "Br", "Br"], "fractional_positions": [[0.000, 0.000, 0.000], [0.750, 0.250, 0.500], [0.018, 0.625, 0.893], [0.375, 0.268, 0.393], [0.732, 0.125, 0.107], [0.875, 0.982, 0.607], [0.250, 0.750, 0.500], [0.500, 0.500, 0.000]], "crystal_system": "tetragonal"}


It comes down to (1), which is 153 meV/atom more stable than the next structure.


(1)
{"formula": "MnTe3Br", "functional": "GGA-PBE", "state": "relaxed", "lattice_angstrom": [[5.073, 0.000, 0.000], [0.000, 5.073, 0.000], [0.000, 0.000, 5.073]], "species": ["Mn", "Te", "Te", "Te", "Br"], "fractional_positions": [[0.000, 0.000, 0.000], [0.000, 0.000, 0.500], [0.000, 0.500, 0.000], [0.500, 0.000, 0.000], [0.500, 0.500, 0.500]], "crystal_system": "cubic"}


(2)
{"formula": "MnTe3Br", "functional": "GGA-PBE", "state": "relaxed", "lattice_angstrom": [[5.530, 0.000, 0.000], [0.000, 5.530, 0.000], [0.000, 0.000, 5.530]], "species": ["Mn", "Te", "Te", "Te", "Br"], "fractional_positions": [[0.000, 0.000, 0.000], [0.000, 0.500, 0.500], [0.500, 0.000, 0.500], [0.500, 0.500, 0.000], [0.500, 0.500, 0.500]], "crystal_system": "cubic"}


It comes down to (1), which is 608 meV/atom more stable than the next structure.


(1)
{"formula": "Mn2TeBr", "functional": "GGA-PBE", "state": "relaxed", "lattice_angstrom": [[2.075, 1.198, 6.464], [-2.075, 1.198, 6.464], [0.000, -2.396, 6.464]], "species": ["Mn", "Mn", "Te", "Br"], "fractional_positions": [[0.239, 0.239, 0.239], [0.761, 0.761, 0.761], [0.500, 0.500, 0.500], [0.000, 0.000, 0.000]], "crystal_system": "trigonal"}


(2)
{"formula": "Mn2TeBr", "functional": "GGA-PBE", "state": "relaxed", "lattice_angstrom": [[3.488, 0.000, 0.000], [0.000, 3.488, 0.000], [0.000, 0.000, 7.620]], "species": ["Mn", "Mn", "Te", "Br"], "fractional_positions": [[0.000, 0.000, 0.000], [0.500, 0.500, 0.194], [0.000, 0.000, 0.357], [0.500, 0.500, 0.828]], "crystal_system": "tetragonal"}


It comes down to (2), which is 91 meV/atom more stable than the next structure.


(1)
{"formula": "Mn2TeBr", "functional": "GGA-PBE", "state": "relaxed", "lattice_angstrom": [[4.295, -1.859, 0.000], [4.295, 1.859, 0.000], [-4.159, 0.000, 6.385]], "species": ["Mn", "Mn", "Te", "Br"], "fractional_positions": [[0.204, 0.204, 0.320], [0.796, 0.796, 0.680], [0.000, 0.000, 0.500], [0.500, 0.500, 0.000]], "crystal_system": "monoclinic"}


(2)
{"formula": "Mn2TeBr", "functional": "GGA-PBE", "state": "relaxed", "lattice_angstrom": [[3.902, -3.838, 0.000], [3.902, 3.838, 0.000], [-2.048, 0.000, 3.474]], "species": ["Mn", "Mn", "Te", "Br"], "fractional_positions": [[0.000, 0.500, 0.000], [0.500, 0.000, 0.000], [0.000, 0.000, 0.500], [0.500, 0.500, 0.500]], "crystal_system": "monoclinic"}


It comes down to (1), which is 239 meV/atom more stable than the next structure.


(1)
{"formula": "Mn2TeBr", "functional": "GGA-PBE", "state": "relaxed", "lattice_angstrom": [[5.002, 0.000, 0.000], [0.000, 5.002, 0.000], [0.000, 0.000, 3.453]], "species": ["Mn", "Mn", "Te", "Br"], "fractional_positions": [[0.000, 0.500, 0.000], [0.500, 0.000, 0.000], [0.000, 0.000, 0.500], [0.500, 0.500, 0.500]], "crystal_system": "tetragonal"}


(2)
{"formula": "Mn2TeBr", "functional": "GGA-PBE", "state": "relaxed", "lattice_angstrom": [[0.000, 3.534, 3.534], [3.534, 0.000, 3.534], [3.534, 3.534, 0.000]], "species": ["Mn", "Mn", "Te", "Br"], "fractional_positions": [[0.250, 0.250, 0.250], [0.750, 0.750, 0.750], [0.000, 0.000, 0.000], [0.500, 0.500, 0.500]], "crystal_system": "cubic"}


It comes down to (2), which is 11 meV/atom more stable than the next structure.